Computed, not measured: a relaxed CsBMo2O8 crystal at the GGA+U level of DFT.

Geometry as POSCAR:
```
CsBMo2O8
1.0
5.060 0.000 0.000
2.530 4.382 0.000
2.530 1.461 9.299
Mo O Cs B
2 8 1 1
direct
0.722 0.722 0.835
0.278 0.278 0.165
0.996 0.327 0.892
0.785 0.785 0.644
0.673 0.216 0.108
0.004 0.673 0.108
0.215 0.215 0.356
0.327 0.784 0.892
0.216 0.004 0.108
0.784 0.996 0.892
0.500 0.500 0.500
0.000 0.000 0.000
```

Computed properties:
E in eV/atom: -6.644
DOS at the Fermi energy in states/eV/f.u.: 0.000
Magnetic moment in μB per formula unit: 0.0